1.
Below is a relaxed structure of MgMnBr, with properties calculated at the PBEsol level.

Cell lengths 4.7794, 4.7794, 4.7794 Å; angles 60.00, 60.00, 60.00 degrees
With the nearest neighbours (Å) after each atom.
Sites, in units of the cell vectors:
Mn 0.0000 0.0000 0.0000  4 Mg 2.93
Mg 0.2500 0.2500 0.2500  4 Br 2.93, 4 Mn 2.93
Br 0.5000 0.5000 0.5000  4 Mg 2.93

Values from the calculation:
- Total magnetization: 4.24 Bohr magnetons per cell
- Uncorrected formation energy: 657.9 meV per atom
- Mass density: 3.42 g/cm3

***

2.
Below is a relaxed structure of BaZnTe3, with properties calculated at the PBEsol level.

Cell lengths 5.3865, 5.3865, 5.3865 Å; angles 90.00, 90.00, 90.00 degrees
With the nearest neighbours (Å) after each atom.
Sites, in units of the cell vectors:
Te 0.0000 0.5000 0.0000  2 Zn 2.69
Te 0.5000 0.0000 0.0000  2 Zn 2.69
Te 0.0000 0.0000 0.5000  2 Zn 2.69
Ba 0.5000 0.5000 0.5000  12 Te 3.81
Zn 0.0000 0.0000 0.0000  6 Te 2.69

Values from the calculation:
- Total magnetization: 0.00 Bohr magnetons per cell
- Uncorrected formation energy: -570.6 meV per atom
- Mass density: 6.22 g/cm3

***

3.
Below is a relaxed structure of BaAg6O4, with properties calculated at the PBEsol level.

Cell lengths 6.5504, 9.0324, 12.7187 Å; angles 90.00, 90.00, 90.00 degrees
With the nearest neighbours (Å) after each atom.
Sites, in units of the cell vectors:
Ag 0.0777 0.9673 0.7638  2 O 2.04-2.05
Ag 0.5000 0.0000 0.0000  2 O 2.06
Ag 0.4223 0.5327 0.2638  2 O 2.04-2.05
Ag 0.7078 0.7596 0.3723  2 O 2.07-2.09
Ag 0.0777 0.5327 0.7362  2 O 2.04-2.05
Ag 0.7078 0.7404 0.1277  2 O 2.07-2.09
Ag 0.3961 0.7500 0.7500  2 O 2.33
Ag 0.9223 0.0327 0.2362  2 O 2.04-2.05
Ag 0.5777 0.4673 0.7362  2 O 2.04-2.05
Ag 0.8961 0.2500 0.7500  2 O 2.33
Ag 0.2922 0.2596 0.8723  2 O 2.07-2.09
Ag 0.2078 0.2596 0.1277  2 O 2.07-2.09
Ag 0.1039 0.7500 0.2500  2 O 2.33
Ag 0.4223 0.9673 0.2362  2 O 2.04-2.05
Ag 0.2078 0.2404 0.3723  2 O 2.07-2.09
Ag 0.6039 0.2500 0.2500  2 O 2.33
Ag 0.7922 0.7404 0.8723  2 O 2.07-2.09
Ag 0.0000 0.5000 0.5000  2 O 2.06
Ag 0.0000 0.0000 0.0000  2 O 2.06
Ag 0.9223 0.4673 0.2638  2 O 2.04-2.05
Ag 0.5000 0.5000 0.5000  2 O 2.06
Ag 0.5777 0.0327 0.7638  2 O 2.04-2.05
Ag 0.7922 0.7596 0.6277  2 O 2.07-2.09
Ag 0.2922 0.2404 0.6277  2 O 2.07-2.09
O 0.4209 0.6637 0.3945  3 Ag 2.04-2.09
O 0.0791 0.8363 0.8945  3 Ag 2.04-2.09
O 0.5791 0.3363 0.6055  3 Ag 2.04-2.09
O 0.0524 0.0916 0.6295  2 Ag 2.05-2.07
O 0.9209 0.3363 0.3945  3 Ag 2.04-2.09
O 0.9209 0.1637 0.1055  3 Ag 2.04-2.09
O 0.0791 0.6637 0.6055  3 Ag 2.04-2.09
O 0.5524 0.5916 0.8705  2 Ag 2.05-2.07
O 0.5524 0.9084 0.6295  2 Ag 2.05-2.07
O 0.9476 0.9084 0.3705  2 Ag 2.05-2.07
O 0.4476 0.4084 0.1295  2 Ag 2.05-2.07
O 0.4476 0.0916 0.3705  2 Ag 2.05-2.07
O 0.0524 0.4084 0.8705  2 Ag 2.05-2.07
O 0.4209 0.8363 0.1055  3 Ag 2.04-2.09
O 0.9476 0.5916 0.1295  2 Ag 2.05-2.07
O 0.5791 0.1637 0.8945  3 Ag 2.04-2.09
Ba 0.7500 0.1217 0.5000  6 O 2.59-2.85
Ba 0.7500 0.3783 0.0000  6 O 2.59-2.85
Ba 0.2500 0.8783 0.5000  6 O 2.59-2.85
Ba 0.2500 0.6217 0.0000  6 O 2.59-2.85

Values from the calculation:
- Total magnetization: 0.00 Bohr magnetons per cell
- Uncorrected formation energy: -553.9 meV per atom
- Mass density: 7.49 g/cm3

***

4.
Below is a relaxed structure of ReTc2Hg, with properties calculated at the PBEsol level.

Cell lengths 3.8623, 3.9619, 3.9619 Å; angles 90.00, 90.00, 90.00 degrees
With the nearest neighbours (Å) after each atom.
Sites, in units of the cell vectors:
Tc 0.0000 0.5000 0.0000  4 Hg 2.77, 4 Re 2.77, 4 Tc 2.80
Tc 0.0000 0.0000 0.5000  4 Hg 2.77, 4 Re 2.77, 4 Tc 2.80
Hg 0.5000 0.5000 0.5000  8 Tc 2.77, 4 Re 2.80
Re 0.5000 0.0000 0.0000  8 Tc 2.77, 4 Hg 2.80

Values from the calculation:
- Total magnetization: 0.00 Bohr magnetons per cell
- E_form: 612 meV per atom
- Mass density: 15.96 g/cm3

***

5.
Below is a relaxed structure of ZnAgAu2, with properties calculated at the PBEsol level.

Cell lengths 4.5034, 4.5034, 4.5034 Å; angles 60.00, 60.00, 60.00 degrees
With the nearest neighbours (Å) after each atom.
Sites, in units of the cell vectors:
Au 0.0000 0.0000 0.0000  4 Zn 2.76, 4 Au 2.76
Au 0.2500 0.2500 0.2500  4 Ag 2.76, 4 Au 2.76
Zn 0.7500 0.7500 0.7500  4 Ag 2.76, 4 Au 2.76
Ag 0.5000 0.5000 0.5000  4 Zn 2.76, 4 Au 2.76

Values from the calculation:
- Total magnetization: 0.00 Bohr magnetons per cell
- E_form: -90 meV per atom
- Mass density: 14.58 g/cm3

***

6.
Below is a relaxed structure of CoRh5, with properties calculated at the PBEsol level.

Cell lengths 2.6481, 4.5700, 6.4482 Å; angles 90.24, 90.00, 90.00 degrees
With the nearest neighbours (Å) after each atom.
Sites, in units of the cell vectors:
Rh 0.5000 0.5000 0.0000  8 Rh 2.61-2.65, 4 Co 2.64
Rh 0.5000 0.1634 0.3259  2 Co 2.59, 10 Rh 2.61-2.70
Rh 0.0000 0.3315 0.6687  11 Rh 2.62-2.69, 1 Co 2.62
Rh 0.0000 0.6685 0.3313  11 Rh 2.62-2.69, 1 Co 2.62
Rh 0.5000 0.8366 0.6741  2 Co 2.59, 10 Rh 2.61-2.70
Co 0.0000 0.0000 0.0000  10 Rh 2.59-2.64, 2 Co 2.65

Values from the calculation:
- Total magnetization: 2.15 Bohr magnetons per cell
- E_form: 43 meV per atom
- Mass density: 12.20 g/cm3

***

7.
Below is a relaxed structure of MnFeReAg2, with properties calculated at the PBEsol level.

Cell lengths 3.8741, 4.6239, 4.6239 Å; angles 90.00, 90.00, 90.00 degrees
With the nearest neighbours (Å) after each atom.
Sites, in units of the cell vectors:
Ag 0.0000 0.5000 0.0000  2 Mn 2.31
Ag 0.0000 0.0000 0.5000  2 Mn 2.31
Fe 0.5000 0.0000 0.0000  2 Mn 1.94
Mn 0.0000 0.0000 0.0000  2 Fe 1.94
Re 0.5000 0.5000 0.5000  8 Ag 3.02, 4 Fe 3.27

Values from the calculation:
- Total magnetization: 4.47 Bohr magnetons per cell
- E_form: 1944 meV per atom
- Mass density: 10.28 g/cm3

***

8.
Below is a relaxed structure of PrTlP2S7, with properties calculated at the PBEsol level.

Cell lengths 8.9614, 9.5811, 12.1942 Å; angles 90.00, 90.00, 90.40 degrees
With the nearest neighbours (Å) after each atom.
Sites, in units of the cell vectors:
S 0.1814 0.0207 0.5608  1 P 2.03
S 0.0705 0.0870 0.8365  1 P 2.04
S 0.9302 0.6558 0.4773  1 P 2.02
S 0.3879 0.3770 0.7059  1 P 2.02
S 0.9239 0.2550 0.0583  2 P 2.12-2.13
S 0.3186 0.9793 0.0608  1 P 2.03
S 0.3559 0.8478 0.8027  1 P 2.03
S 0.9295 0.9130 0.1635  1 P 2.04
S 0.0698 0.3442 0.5227  1 P 2.02
S 0.7140 0.3743 0.5546  1 P 2.01
S 0.8186 0.9793 0.4392  1 P 2.03
S 0.2860 0.6257 0.4454  1 P 2.01
S 0.5698 0.3442 0.9773  1 P 2.02
S 0.2140 0.3743 0.9454  1 P 2.01
S 0.7860 0.6257 0.0546  1 P 2.01
S 0.6121 0.6230 0.2941  1 P 2.02
S 0.4295 0.9130 0.3365  1 P 2.04
S 0.5705 0.0870 0.6635  1 P 2.04
S 0.1121 0.6230 0.2059  1 P 2.02
S 0.4239 0.2550 0.4417  2 P 2.12-2.13
S 0.6814 0.0207 0.9392  1 P 2.03
S 0.8559 0.8478 0.6973  1 P 2.03
S 0.5761 0.7450 0.5583  2 P 2.12-2.13
S 0.8879 0.3770 0.7941  1 P 2.02
S 0.6441 0.1522 0.1973  1 P 2.03
S 0.0761 0.7450 0.9417  2 P 2.12-2.13
S 0.4302 0.6558 0.0227  1 P 2.02
S 0.1441 0.1522 0.3027  1 P 2.03
P 0.4764 0.7221 0.4009  4 S 2.01-2.13
P 0.6987 0.1904 0.0387  4 S 2.02-2.12
P 0.3013 0.8096 0.9613  4 S 2.02-2.12
P 0.5236 0.2779 0.5991  4 S 2.01-2.13
P 0.8013 0.8096 0.5387  4 S 2.02-2.12
P 0.0236 0.2779 0.9009  4 S 2.01-2.13
P 0.9764 0.7221 0.0991  4 S 2.01-2.13
P 0.1987 0.1904 0.4613  4 S 2.02-2.12
Tl 0.8755 0.3968 0.3116  8 S 3.15-3.42
Tl 0.3755 0.3968 0.1884  8 S 3.15-3.42
Tl 0.1245 0.6032 0.6884  8 S 3.15-3.42
Tl 0.6245 0.6032 0.8116  8 S 3.15-3.42
Pr 0.6074 0.8568 0.1430  8 S 2.89-3.02
Pr 0.1074 0.8568 0.3570  8 S 2.89-3.02
Pr 0.3926 0.1432 0.8570  8 S 2.89-3.02
Pr 0.8926 0.1432 0.6430  8 S 2.89-3.02

Values from the calculation:
- Total magnetization: 0.00 Bohr magnetons per cell
- Uncorrected formation energy: -760.7 meV per atom
- Mass density: 4.01 g/cm3

***

9.
Below is a relaxed structure of GaPtI3, with properties calculated at the PBEsol level.

Cell lengths 5.4254, 5.4254, 5.4254 Å; angles 90.00, 90.00, 90.00 degrees
With the nearest neighbours (Å) after each atom.
Sites, in units of the cell vectors:
Ga 0.5000 0.5000 0.5000  12 I 3.84
I 0.0000 0.5000 0.0000  2 Pt 2.71
I 0.5000 0.0000 0.0000  2 Pt 2.71
I 0.0000 0.0000 0.5000  2 Pt 2.71
Pt 0.0000 0.0000 0.0000  6 I 2.71

Values from the calculation:
- Total magnetization: 0.00 Bohr magnetons per cell
- Uncorrected formation energy: -17.9 meV per atom
- Mass density: 6.71 g/cm3

***

10.
Below is a relaxed structure of HoCr2Si2C, with properties calculated at the PBEsol level.

Cell lengths 3.9114, 3.9114, 5.1617 Å; angles 90.00, 90.00, 90.00 degrees
With the nearest neighbours (Å) after each atom.
Sites, in units of the cell vectors:
Si 0.5000 0.5000 0.7295  1 Si 2.37, 4 Cr 2.40
Si 0.5000 0.5000 0.2705  1 Si 2.37, 4 Cr 2.40
Cr 0.0000 0.5000 0.0000  2 C 1.96
Cr 0.5000 0.0000 0.0000  2 C 1.96
C 0.0000 0.0000 0.0000  4 Cr 1.96
Ho 0.0000 0.0000 0.5000  2 C 2.58

Values from the calculation:
- Total magnetization: 0.93 Bohr magnetons per cell
- Uncorrected formation energy: -537.1 meV per atom
- Mass density: 7.09 g/cm3

***

Question: Which of these has the highest mass density?
Answer: ReTc2Hg

***

Question: What is the mass density in the fourth record?
Answer: 15.96 g/cm3

***

Question: Among the records above, which one has the highest mass density?
Answer: ReTc2Hg

***

Question: Number 10 is which compound?
Answer: HoCr2Si2C